Record 1
## MoPIr2 (PBE)

Data for MoPIr2 after structural relaxation.

The structure in CIF format:
```
data_MoPIr2
_chemical_formula_sum 'Mo1 P1 Ir2'
_cell_length_a 4.9088
_cell_length_b 4.9088
_cell_length_c 4.4609
_cell_angle_alpha 89.51
_cell_angle_beta 89.51
_cell_angle_gamma 33.07
_space_group_name_H-M_alt 'P 1'
_space_group_IT_number 1
loop_
_space_group_symop_operation_xyz
'x,y,z'
loop_
_atom_site_label
_atom_site_type_symbol
_atom_site_fract_x
_atom_site_fract_y
_atom_site_fract_z
_atom_site_occupancy
Mo1 Mo 0.0000 0.0000 0.0000 1
Ir1 Ir 0.2755 0.2755 0.7547 1
Ir2 Ir 0.7245 0.7245 0.2453 1
P1 P 0.5000 0.5000 0.5000 1
```

Computed properties:
SG = No. 12
Spin magnetization = 0.00 Bohr magnetons per cell
Density = 14.5 g cm⁻³
Energy of formation = -0.110 eV/atom
Crystal system = monoclinic
Density of states at the Fermi level = 0.756 states/eV per atom

=====

Record 2
## Na2Cd6Au (PBE)

Data for Na2Cd6Au after structural relaxation.

The structure in CIF format:
```
data_Na2Cd6Au
_chemical_formula_sum 'Na2 Cd6 Au1'
_cell_length_a 6.1600
_cell_length_b 5.9527
_cell_length_c 7.0350
_cell_angle_alpha 86.78
_cell_angle_beta 90.00
_cell_angle_gamma 121.16
_space_group_name_H-M_alt 'P 1'
_space_group_IT_number 1
loop_
_space_group_symop_operation_xyz
'x,y,z'
loop_
_atom_site_label
_atom_site_type_symbol
_atom_site_fract_x
_atom_site_fract_y
_atom_site_fract_z
_atom_site_occupancy
Cd1 Cd 0.8321 0.1813 0.6732 1
Cd2 Cd 0.6508 0.8187 0.3268 1
Cd3 Cd 0.8356 0.6711 0.6901 1
Cd4 Cd 0.3492 0.1813 0.6732 1
Cd5 Cd 0.1644 0.3289 0.3099 1
Cd6 Cd 0.1679 0.8187 0.3268 1
Na1 Na 0.3323 0.6646 0.8989 1
Na2 Na 0.6677 0.3354 0.1011 1
Au1 Au 0.0000 0.0000 0.0000 1
```

Computed properties:
SG = No. 12
Spin magnetization = 0.00 Bohr magnetons per cell
Density = 6.9 g cm⁻³
Energy of formation = -0.132 eV/atom
Crystal system = monoclinic
Density of states at the Fermi level = 0.243 states/eV per atom

=====

Record 3
## Ac2CdRh3 (PBE)

Data for Ac2CdRh3 after structural relaxation.

The structure in CIF format:
```
data_Ac2CdRh3
_chemical_formula_sum 'Ac8 Cd4 Rh12'
_cell_length_a 4.2783
_cell_length_b 7.6426
_cell_length_c 16.9880
_cell_angle_alpha 90.00
_cell_angle_beta 90.00
_cell_angle_gamma 90.00
_space_group_name_H-M_alt 'P 1'
_space_group_IT_number 1
loop_
_space_group_symop_operation_xyz
'x,y,z'
loop_
_atom_site_label
_atom_site_type_symbol
_atom_site_fract_x
_atom_site_fract_y
_atom_site_fract_z
_atom_site_occupancy
Ac1 Ac 0.2500 0.1486 0.9362 1
Ac2 Ac 0.2500 0.5352 0.7774 1
Ac3 Ac 0.2500 0.0352 0.7226 1
Ac4 Ac 0.2500 0.6486 0.5638 1
Ac5 Ac 0.7500 0.8514 0.0638 1
Ac6 Ac 0.7500 0.9648 0.2774 1
Ac7 Ac 0.7500 0.4648 0.2226 1
Ac8 Ac 0.7500 0.3514 0.4362 1
Rh1 Rh 0.7500 0.7469 0.6971 1
Rh2 Rh 0.7500 0.2524 0.0754 1
Rh3 Rh 0.2500 0.1203 0.1422 1
Rh4 Rh 0.7500 0.7524 0.4246 1
Rh5 Rh 0.2500 0.7531 0.1971 1
Rh6 Rh 0.7500 0.8797 0.8578 1
Rh7 Rh 0.2500 0.2531 0.3029 1
Rh8 Rh 0.2500 0.6203 0.3578 1
Rh9 Rh 0.7500 0.3797 0.6422 1
Rh10 Rh 0.2500 0.7476 0.9246 1
Rh11 Rh 0.2500 0.2476 0.5754 1
Rh12 Rh 0.7500 0.2469 0.8029 1
Cd1 Cd 0.7500 0.5020 0.9373 1
Cd2 Cd 0.7500 0.0020 0.5627 1
Cd3 Cd 0.2500 0.9980 0.4373 1
Cd4 Cd 0.2500 0.4980 0.0627 1
```

Computed properties:
SG = No. 62
Spin magnetization = 0.00 Bohr magnetons per cell
Density = 10.5 g cm⁻³
Energy of formation = -0.473 eV/atom
Crystal system = orthorhombic
Density of states at the Fermi level = 0.779 states/eV per atom

=====

Record 4
## AlZnSi2 (PBE)

Data for AlZnSi2 after structural relaxation.

The structure in CIF format:
```
data_AlZnSi2
_chemical_formula_sum 'Al2 Zn2 Si4'
_cell_length_a 6.1264
_cell_length_b 6.1264
_cell_length_c 6.3577
_cell_angle_alpha 61.20
_cell_angle_beta 61.20
_cell_angle_gamma 90.00
_space_group_name_H-M_alt 'P 1'
_space_group_IT_number 1
loop_
_space_group_symop_operation_xyz
'x,y,z'
loop_
_atom_site_label
_atom_site_type_symbol
_atom_site_fract_x
_atom_site_fract_y
_atom_site_fract_z
_atom_site_occupancy
Al1 Al 0.2500 0.7500 0.5000 1
Al2 Al 0.5000 0.5000 0.0000 1
Zn1 Zn 0.7500 0.2500 0.5000 1
Zn2 Zn 0.0000 0.0000 0.0000 1
Si1 Si 0.1183 0.6250 0.2500 1
Si2 Si 0.8750 0.8817 0.7500 1
Si3 Si 0.6317 0.1250 0.2500 1
Si4 Si 0.3750 0.3683 0.7500 1
```

Computed properties:
SG = No. 122
Spin magnetization = 0.00 Bohr magnetons per cell
Density = 2.8 g cm⁻³
Crystal system = tetragonal
VASP energy = -3.44 eV per atom
Density of states at the Fermi level = 0.732 states/eV per atom

=====

Record 5
## LiCr3Ru (PBE)

Data for LiCr3Ru after structural relaxation.

The structure in CIF format:
```
data_LiCr3Ru
_chemical_formula_sum 'Li1 Cr3 Ru1'
_cell_length_a 3.9234
_cell_length_b 3.9234
_cell_length_c 3.9234
_cell_angle_alpha 90.00
_cell_angle_beta 90.00
_cell_angle_gamma 90.00
_space_group_name_H-M_alt 'P 1'
_space_group_IT_number 1
loop_
_space_group_symop_operation_xyz
'x,y,z'
loop_
_atom_site_label
_atom_site_type_symbol
_atom_site_fract_x
_atom_site_fract_y
_atom_site_fract_z
_atom_site_occupancy
Li1 Li 0.0000 0.0000 0.0000 1
Cr1 Cr 0.5000 0.0000 0.0000 1
Cr2 Cr 0.0000 0.0000 0.5000 1
Cr3 Cr 0.0000 0.5000 0.0000 1
Ru1 Ru 0.5000 0.5000 0.5000 1
```

Computed properties:
SG = No. 221
Spin magnetization = 0.00 Bohr magnetons per cell
Density = 7.3 g cm⁻³
Energy of formation = 1.319 eV/atom
Crystal system = cubic
Density of states at the Fermi level = 1.428 states/eV per atom

=====

Record 6
## Tl16Sn12Bi (PBE)

Data for Tl16Sn12Bi after structural relaxation.

The structure in CIF format:
```
data_Tl16Sn12Bi
_chemical_formula_sum 'Tl16 Sn12 Bi1'
_cell_length_a 10.4047
_cell_length_b 10.4047
_cell_length_c 10.5308
_cell_angle_alpha 109.45
_cell_angle_beta 109.45
_cell_angle_gamma 108.77
_space_group_name_H-M_alt 'P 1'
_space_group_IT_number 1
loop_
_space_group_symop_operation_xyz
'x,y,z'
loop_
_atom_site_label
_atom_site_type_symbol
_atom_site_fract_x
_atom_site_fract_y
_atom_site_fract_z
_atom_site_occupancy
Tl1 Tl 0.6824 0.0003 0.3988 1
Tl2 Tl 0.0003 0.6824 0.3988 1
Tl3 Tl 0.6444 0.0010 0.0022 1
Tl4 Tl 0.4023 0.6804 0.0010 1
Tl5 Tl 0.6006 0.2869 0.6026 1
Tl6 Tl 0.7138 0.3192 0.3153 1
Tl7 Tl 0.6804 0.4023 0.0010 1
Tl8 Tl 0.0010 0.6444 0.0022 1
Tl9 Tl 0.3192 0.7138 0.3153 1
Tl10 Tl 0.3968 0.0001 0.6840 1
Tl11 Tl 0.0012 0.0012 0.6496 1
Tl12 Tl 0.2869 0.6006 0.6026 1
Tl13 Tl 0.0001 0.3968 0.6840 1
Tl14 Tl 0.0024 0.0024 0.0021 1
Tl15 Tl 0.3569 0.3569 0.3512 1
Tl16 Tl 0.3177 0.3177 0.7126 1
Sn1 Sn 0.8117 0.1775 0.8169 1
Sn2 Sn 0.6335 0.8191 0.6298 1
Sn3 Sn 0.6400 0.6400 0.8231 1
Sn4 Sn 0.8191 0.6335 0.6298 1
Sn5 Sn 0.1809 0.9959 0.3624 1
Sn6 Sn 0.8098 0.8098 0.1781 1
Sn7 Sn 0.1865 0.3663 0.9999 1
Sn8 Sn 0.9959 0.1809 0.3624 1
Sn9 Sn 0.3663 0.1865 0.9999 1
Sn10 Sn 0.1775 0.8117 0.8169 1
Sn11 Sn 0.3638 0.0015 0.1849 1
Sn12 Sn 0.0015 0.3638 0.1849 1
Bi1 Bi 0.6071 0.6071 0.2879 1
```

Computed properties:
SG = No. 8
Spin magnetization = 0.00 Bohr magnetons per cell
Density = 9.2 g cm⁻³
Energy of formation = 0.004 eV/atom
Crystal system = monoclinic
Density of states at the Fermi level = 0.292 states/eV per atom

=====

Record 7
## CaScCu2 (PBE)

Data for CaScCu2 after structural relaxation.

The structure in CIF format:
```
data_CaScCu2
_chemical_formula_sum 'Ca1 Sc1 Cu2'
_cell_length_a 6.7631
_cell_length_b 6.7631
_cell_length_c 6.7631
_cell_angle_alpha 35.58
_cell_angle_beta 35.58
_cell_angle_gamma 35.58
_space_group_name_H-M_alt 'P 1'
_space_group_IT_number 1
loop_
_space_group_symop_operation_xyz
'x,y,z'
loop_
_atom_site_label
_atom_site_type_symbol
_atom_site_fract_x
_atom_site_fract_y
_atom_site_fract_z
_atom_site_occupancy
Cu1 Cu 0.2844 0.2844 0.2844 1
Cu2 Cu 0.9497 0.9497 0.9497 1
Ca1 Ca 0.7231 0.7231 0.7231 1
Sc1 Sc 0.5428 0.5428 0.5428 1
```

Computed properties:
SG = No. 160
Spin magnetization = 0.00 Bohr magnetons per cell
Density = 3.8 g cm⁻³
Energy of formation = -0.034 eV/atom
Crystal system = trigonal
Density of states at the Fermi level = 0.949 states/eV per atom

=====

Record 8
## ErPuMg2 (PBE)

Data for ErPuMg2 after structural relaxation.

The structure in CIF format:
```
data_ErPuMg2
_chemical_formula_sum 'Er1 Pu1 Mg2'
_cell_length_a 4.8895
_cell_length_b 4.6533
_cell_length_c 4.6533
_cell_angle_alpha 90.00
_cell_angle_beta 90.00
_cell_angle_gamma 90.00
_space_group_name_H-M_alt 'P 1'
_space_group_IT_number 1
loop_
_space_group_symop_operation_xyz
'x,y,z'
loop_
_atom_site_label
_atom_site_type_symbol
_atom_site_fract_x
_atom_site_fract_y
_atom_site_fract_z
_atom_site_occupancy
Pu1 Pu 0.5000 0.5000 0.5000 1
Mg1 Mg 0.0000 0.5000 0.0000 1
Mg2 Mg 0.0000 0.0000 0.5000 1
Er1 Er 0.5000 0.0000 0.0000 1
```

Computed properties:
SG = No. 123
Spin magnetization = 6.35 Bohr magnetons per cell
Density = 7.2 g cm⁻³
Energy of formation = 0.142 eV/atom
Crystal system = tetragonal
Density of states at the Fermi level = 3.054 states/eV per atom

=====

Record 9
## CaInTc (PBE)

Data for CaInTc after structural relaxation.

The structure in CIF format:
```
data_CaInTc
_chemical_formula_sum 'Ca1 In1 Tc1'
_cell_length_a 5.8084
_cell_length_b 5.8084
_cell_length_c 5.8084
_cell_angle_alpha 143.90
_cell_angle_beta 143.90
_cell_angle_gamma 51.98
_space_group_name_H-M_alt 'P 1'
_space_group_IT_number 1
loop_
_space_group_symop_operation_xyz
'x,y,z'
loop_
_atom_site_label
_atom_site_type_symbol
_atom_site_fract_x
_atom_site_fract_y
_atom_site_fract_z
_atom_site_occupancy
Ca1 Ca 0.0059 0.0059 0.0000 1
In1 In 0.2962 0.2962 0.0000 1
Tc1 Tc 0.6980 0.6980 0.0000 1
```

Computed properties:
SG = No. 107
Spin magnetization = 0.17 Bohr magnetons per cell
Density = 6.2 g cm⁻³
Energy of formation = 0.264 eV/atom
Crystal system = tetragonal
Density of states at the Fermi level = 0.831 states/eV per atom

=====

Record 10
## Fe2AsIr (PBE)

Data for Fe2AsIr after structural relaxation.

The structure in CIF format:
```
data_Fe2AsIr
_chemical_formula_sum 'Fe2 As1 Ir1'
_cell_length_a 4.5850
_cell_length_b 4.5850
_cell_length_c 2.8066
_cell_angle_alpha 89.97
_cell_angle_beta 89.97
_cell_angle_gamma 113.08
_space_group_name_H-M_alt 'P 1'
_space_group_IT_number 1
loop_
_space_group_symop_operation_xyz
'x,y,z'
loop_
_atom_site_label
_atom_site_type_symbol
_atom_site_fract_x
_atom_site_fract_y
_atom_site_fract_z
_atom_site_occupancy
Fe1 Fe 0.0000 0.0000 0.0000 1
Fe2 Fe 0.5000 0.5000 0.0000 1
As1 As 0.0000 0.5000 0.5000 1
Ir1 Ir 0.5000 0.0000 0.5000 1
```

Computed properties:
SG = No. 65
Spin magnetization = 5.48 Bohr magnetons per cell
Density = 11.6 g cm⁻³
Energy of formation = 0.074 eV/atom
Crystal system = orthorhombic
Density of states at the Fermi level = 0.967 states/eV per atom

=====

Record 11
## Li2PuSnAu4 (PBE)

Data for Li2PuSnAu4 after structural relaxation.

The structure in CIF format:
```
data_Li2PuSnAu4
_chemical_formula_sum 'Li2 Pu1 Sn1 Au4'
_cell_length_a 4.5622
_cell_length_b 4.5622
_cell_length_c 9.3859
_cell_angle_alpha 75.93
_cell_angle_beta 75.93
_cell_angle_gamma 60.00
_space_group_name_H-M_alt 'P 1'
_space_group_IT_number 1
loop_
_space_group_symop_operation_xyz
'x,y,z'
loop_
_atom_site_label
_atom_site_type_symbol
_atom_site_fract_x
_atom_site_fract_y
_atom_site_fract_z
_atom_site_occupancy
Au1 Au 0.1177 0.1177 0.6468 1
Au2 Au 0.6080 0.6080 0.1761 1
Au3 Au 0.8823 0.8823 0.3532 1
Au4 Au 0.3920 0.3920 0.8239 1
Li1 Li 0.7619 0.7619 0.7144 1
Li2 Li 0.2381 0.2381 0.2856 1
Pu1 Pu 0.0000 0.0000 0.0000 1
Sn1 Sn 0.5000 0.5000 0.5000 1
```

Computed properties:
SG = No. 166
Spin magnetization = 5.48 Bohr magnetons per cell
Density = 11.9 g cm⁻³
Energy of formation = -0.393 eV/atom
Crystal system = trigonal
Density of states at the Fermi level = 2.327 states/eV per atom

=====

Record 12
## TaHg2Sb (PBE)

Data for TaHg2Sb after structural relaxation.

The structure in CIF format:
```
data_TaHg2Sb
_chemical_formula_sum 'Ta1 Hg2 Sb1'
_cell_length_a 3.0686
_cell_length_b 3.0686
_cell_length_c 9.5554
_cell_angle_alpha 90.00
_cell_angle_beta 90.00
_cell_angle_gamma 91.83
_space_group_name_H-M_alt 'P 1'
_space_group_IT_number 1
loop_
_space_group_symop_operation_xyz
'x,y,z'
loop_
_atom_site_label
_atom_site_type_symbol
_atom_site_fract_x
_atom_site_fract_y
_atom_site_fract_z
_atom_site_occupancy
Sb1 Sb 0.5000 0.5000 0.2500 1
Hg1 Hg 0.0000 0.0000 0.5304 1
Hg2 Hg 0.0000 0.0000 0.9696 1
Ta1 Ta 0.5000 0.5000 0.7500 1
```

Computed properties:
SG = No. 65
Spin magnetization = 0.00 Bohr magnetons per cell
Density = 13.0 g cm⁻³
Crystal system = orthorhombic
VASP energy = -3.72 eV per atom
Density of states at the Fermi level = 0.463 states/eV per atom